Material: Pm4TlTe
Method: DFT, GGA-PBE
State: relaxed

a b c (Å): 8.8191 3.9715 21.2182
angles (deg): 90.00 90.00 90.00
Positions (direct):
Pm (0.0011, 0.2500, 0.2249)
Pm (0.0214, 0.7500, 0.0764)
Pm (0.1286, 0.7500, 0.5752)
Pm (0.1755, 0.7500, 0.3413)
Pm (0.3245, 0.2500, 0.8413)
Pm (0.3714, 0.2500, 0.0752)
Pm (0.4786, 0.2500, 0.5764)
Pm (0.4989, 0.7500, 0.7249)
Pm (0.5011, 0.2500, 0.2751)
Pm (0.5214, 0.7500, 0.4236)
Pm (0.6286, 0.7500, 0.9248)
Pm (0.6755, 0.7500, 0.1587)
Pm (0.8245, 0.2500, 0.6587)
Pm (0.8714, 0.2500, 0.4248)
Pm (0.9786, 0.2500, 0.9236)
Pm (0.9989, 0.7500, 0.7751)
Tl (0.2289, 0.2500, 0.4622)
Tl (0.2711, 0.7500, 0.9622)
Tl (0.7289, 0.2500, 0.0378)
Tl (0.7711, 0.7500, 0.5378)
Te (0.2119, 0.2500, 0.6900)
Te (0.2881, 0.7500, 0.1900)
Te (0.7119, 0.2500, 0.8100)
Te (0.7881, 0.7500, 0.3100)

Summary:
Total moment (μB/atom): 0.00
D(E_F) (states/eV/cell): 27.16
Energy relative to the lowest polymorph listed for this composition (eV/atom): 0.006
Space group: Pnma
Formation energy (no corrections) (eV/atom): -0.5803